[1]
## Ba2TlHg4Pd3 (GGA-PBE)

Data for Ba2TlHg4Pd3 after structural relaxation.

POSCAR file:
```
Ba2TlHg4Pd3
1.0
-3.984 2.458 0.091
-1.950 -3.051 -2.969
-3.908 -6.680 9.429
Pd Ba Hg Tl
3 2 4 1
direct
0.000 0.000 0.500
0.500 0.000 0.869
0.000 0.500 0.131
0.000 0.500 0.765
0.500 0.000 0.235
0.000 0.500 0.354
0.500 0.000 0.646
0.000 0.000 0.000
0.500 0.500 0.000
0.500 0.500 0.500
```

Output
Fermi-level density of states = 4.93 states/eV per cell
Space-group type = P-4m2
Calculated total energy = -0.0985 hartree per atom
Formation energy = -0.38 eV/atom

---

[2]
## ThGe4Ir2 (GGA-PBE)

Data for ThGe4Ir2 after structural relaxation.

POSCAR file:
```
ThGe4Ir2
1.0
-2.676 -0.104 -3.423
3.762 -4.933 -2.791
-9.667 -11.853 7.918
Ge Th Ir
16 4 8
direct
0.750 0.859 0.465
0.250 0.226 0.194
0.250 0.681 0.680
0.250 0.470 0.435
0.750 0.319 0.320
0.250 0.141 0.535
0.750 0.726 0.306
0.250 0.819 0.180
0.750 0.970 0.065
0.750 0.641 0.965
0.750 0.774 0.806
0.750 0.181 0.820
0.250 0.359 0.035
0.250 0.030 0.935
0.750 0.530 0.565
0.250 0.274 0.694
0.250 0.491 0.859
0.250 0.009 0.359
0.750 0.991 0.641
0.750 0.509 0.141
0.750 0.245 0.470
0.750 0.029 0.212
0.250 0.529 0.288
0.750 0.255 0.970
0.750 0.471 0.712
0.250 0.745 0.030
0.250 0.755 0.530
0.250 0.971 0.788
```

Output
Fermi-level density of states = 8.20 states/eV per cell
Space-group type = Pnma
Calculated total energy = -0.2503 hartree per atom
Formation energy = -0.58 eV/atom

---

[3]
## PmEr2Pa (GGA-PBE)

Data for PmEr2Pa after structural relaxation.

POSCAR file:
```
PmEr2Pa
1.0
3.417 0.000 0.000
0.000 3.417 0.000
0.000 0.000 10.160
Er Pm Pa
2 1 1
direct
0.000 0.000 0.770
0.000 0.000 0.230
0.500 0.500 0.500
0.500 0.500 0.000
```

Output
Fermi-level density of states = 7.07 states/eV per cell
Space-group type = P4/mmm
Calculated total energy = -0.2102 hartree per atom
Formation energy = 0.12 eV/atom
ΔE to the lowest computed polymorph = 0 meV/atom

---

Repeat the third record exactly.
## PmEr2Pa (GGA-PBE)

Data for PmEr2Pa after structural relaxation.

POSCAR file:
```
PmEr2Pa
1.0
3.417 0.000 0.000
0.000 3.417 0.000
0.000 0.000 10.160
Er Pm Pa
2 1 1
direct
0.000 0.000 0.770
0.000 0.000 0.230
0.500 0.500 0.500
0.500 0.500 0.000
```

Output
Fermi-level density of states = 7.07 states/eV per cell
Space-group type = P4/mmm
Calculated total energy = -0.2102 hartree per atom
Formation energy = 0.12 eV/atom
ΔE to the lowest computed polymorph = 0 meV/atom